Entry from Alexandria via LeMat-Bulk: a relaxed Mn3TeO8 crystal (GGA-PBEsol).

## Properties
E	-7.651	eV per atom
energy relative to the elements, uncorrected	-1.42	eV per atom
N(E_F)	3.7	states/eV/f.u.

Unit cell a=5.6780 b=5.6780 c=9.6369 alpha=90.00 beta=90.00 gamma=120.00
Element x y z (fractional)
Mn: 0.1684 0.3368 0.0000
Mn: 0.1684 0.8316 0.0000
Mn: 0.3368 0.1684 0.5000
Mn: 0.6632 0.8316 0.0000
Mn: 0.8316 0.1684 0.5000
Mn: 0.8316 0.6632 0.5000
Te: 0.3333 0.6667 0.7230
Te: 0.6667 0.3333 0.2230
O: 0.0000 0.0000 0.4040
O: 0.0000 0.0000 0.9040
O: 0.0286 0.5143 0.8895
O: 0.1577 0.3154 0.6096
O: 0.1577 0.8423 0.6096
O: 0.3154 0.1577 0.1096
O: 0.3333 0.6667 0.1017
O: 0.4857 0.5143 0.8895
O: 0.4857 0.9714 0.8895
O: 0.5143 0.0286 0.3895
O: 0.5143 0.4857 0.3895
O: 0.6667 0.3333 0.6017
O: 0.6846 0.8423 0.6096
O: 0.8423 0.1577 0.1096
O: 0.8423 0.6846 0.1096
O: 0.9714 0.4857 0.3895